1.
Below is a relaxed Y3Nb3Mo2N12 crystal, with properties calculated at the PBE level.

a b c (Å): 11.094 11.094 11.094
angles (deg): 109.47 109.47 109.47
Positions (direct):
Y1 0.750 0.125 0.375
Y2 0.375 0.125 0.250
Y3 0.875 0.625 0.250
Y4 0.875 0.750 0.625
Y5 0.250 0.875 0.625
Y6 0.625 0.250 0.875
Y7 0.250 0.375 0.125
Y8 0.750 0.625 0.875
Y9 0.375 0.750 0.125
Y10 0.125 0.375 0.750
Y11 0.125 0.250 0.375
Y12 0.625 0.875 0.750
N1 0.799 0.883 0.975
N2 0.117 0.025 0.201
N3 0.475 0.592 0.176
N4 0.408 0.824 0.525
N5 0.176 0.201 0.584
N6 0.908 0.025 0.324
N7 0.025 0.324 0.908
N8 0.975 0.676 0.092
N9 0.525 0.617 0.701
N10 0.617 0.701 0.525
N11 0.824 0.525 0.408
N12 0.324 0.908 0.025
N13 0.084 0.701 0.676
N14 0.584 0.176 0.201
N15 0.617 0.416 0.092
N16 0.092 0.975 0.676
N17 0.584 0.908 0.383
N18 0.416 0.824 0.799
N19 0.408 0.084 0.883
N20 0.701 0.525 0.617
N21 0.916 0.117 0.592
N22 0.908 0.383 0.584
N23 0.324 0.916 0.299
N24 0.975 0.799 0.883
N25 0.824 0.799 0.416
N26 0.092 0.617 0.416
N27 0.201 0.584 0.176
N28 0.299 0.475 0.383
N29 0.416 0.092 0.617
N30 0.299 0.324 0.916
N31 0.025 0.201 0.117
N32 0.701 0.676 0.084
N33 0.383 0.299 0.475
N34 0.916 0.299 0.324
N35 0.383 0.584 0.908
N36 0.592 0.916 0.117
N37 0.676 0.092 0.975
N38 0.176 0.475 0.592
N39 0.475 0.383 0.299
N40 0.201 0.117 0.025
N41 0.592 0.176 0.475
N42 0.799 0.416 0.824
N43 0.117 0.592 0.916
N44 0.676 0.084 0.701
N45 0.883 0.408 0.084
N46 0.084 0.883 0.408
N47 0.883 0.975 0.799
N48 0.525 0.408 0.824
Nb1 0.375 0.250 0.625
Nb2 0.625 0.750 0.375
Nb3 0.875 0.250 0.125
Nb4 0.875 0.125 0.750
Nb5 0.125 0.750 0.875
Nb6 0.375 0.625 0.750
Nb7 0.250 0.625 0.375
Nb8 0.750 0.375 0.625
Nb9 0.625 0.375 0.250
Nb10 0.750 0.875 0.125
Nb11 0.250 0.125 0.875
Nb12 0.125 0.875 0.250
Mo1 0.500 0.500 0.000
Mo2 0.000 0.000 0.500
Mo3 0.500 0.000 0.500
Mo4 0.000 0.500 0.000
Mo5 0.000 0.000 0.000
Mo6 0.500 0.000 0.000
Mo7 0.500 0.500 0.500
Mo8 0.000 0.500 0.500

Spin magnetization = 0.019 μB per cell
Uncorrected energy = -0.6873 Ry per atom

---

2.
Below is a relaxed Nb2Zn3Mo4N3 crystal, with properties calculated at the PBE level.

a b c (Å): 5.241 5.241 13.760
angles (deg): 101.26 101.26 59.98
Positions (direct):
N1 0.215 0.642 0.000
N2 0.500 0.000 0.000
N3 0.358 0.785 0.500
N4 0.785 0.358 0.000
N5 0.642 0.215 0.500
N6 0.000 0.500 0.500
Zn1 0.072 0.928 0.250
Zn2 0.896 0.585 0.748
Zn3 0.104 0.415 0.252
Zn4 0.415 0.104 0.752
Zn5 0.585 0.896 0.248
Zn6 0.928 0.072 0.750
Nb1 0.538 0.364 0.113
Nb2 0.364 0.538 0.613
Nb3 0.636 0.462 0.387
Nb4 0.462 0.636 0.887
Mo1 0.693 0.875 0.580
Mo2 0.819 0.960 0.920
Mo3 0.040 0.181 0.580
Mo4 0.307 0.125 0.420
Mo5 0.181 0.040 0.080
Mo6 0.960 0.819 0.420
Mo7 0.875 0.693 0.080
Mo8 0.125 0.307 0.920

Spin magnetization = 0.001 μB per cell
Uncorrected energy = -0.5827 Ry per atom

---

3.
Below is a relaxed Nb4Zn3Mo2N3 crystal, with properties calculated at the PBE level.

a b c (Å): 5.156 5.156 14.621
angles (deg): 100.16 100.16 59.90
Positions (direct):
N1 0.837 0.332 0.500
N2 0.332 0.837 0.000
N3 0.000 0.500 0.000
N4 0.500 0.000 0.500
N5 0.668 0.163 0.000
N6 0.163 0.668 0.500
Zn1 0.105 0.895 0.250
Zn2 0.414 0.277 0.249
Zn3 0.277 0.414 0.749
Zn4 0.895 0.105 0.750
Zn5 0.723 0.586 0.251
Zn6 0.586 0.723 0.751
Nb1 0.201 0.029 0.595
Nb2 0.135 0.303 0.405
Nb3 0.865 0.697 0.595
Nb4 0.971 0.799 0.905
Nb5 0.303 0.135 0.905
Nb6 0.697 0.865 0.095
Nb7 0.029 0.201 0.095
Nb8 0.799 0.971 0.405
Mo1 0.532 0.364 0.591
Mo2 0.364 0.532 0.091
Mo3 0.468 0.636 0.409
Mo4 0.636 0.468 0.909

Spin magnetization = 0.011 μB per cell
Uncorrected energy = -0.5839 Ry per atom

---

4.
Below is a relaxed Zr3Nb2Mo3N12 crystal, with properties calculated at the PBE level.

a b c (Å): 10.803 10.803 10.803
angles (deg): 109.47 109.47 109.47
Positions (direct):
N1 0.282 0.464 0.375
N2 0.407 0.090 0.625
N3 0.683 0.093 0.718
N4 0.625 0.718 0.536
N5 0.093 0.875 0.410
N6 0.375 0.593 0.910
N7 0.910 0.036 0.317
N8 0.593 0.183 0.218
N9 0.718 0.683 0.093
N10 0.875 0.410 0.093
N11 0.875 0.964 0.782
N12 0.536 0.410 0.817
N13 0.907 0.282 0.317
N14 0.093 0.718 0.683
N15 0.464 0.590 0.183
N16 0.125 0.036 0.218
N17 0.125 0.590 0.907
N18 0.407 0.817 0.782
N19 0.593 0.910 0.375
N20 0.964 0.782 0.875
N21 0.817 0.782 0.407
N22 0.090 0.625 0.407
N23 0.907 0.125 0.590
N24 0.590 0.907 0.125
N25 0.282 0.317 0.907
N26 0.036 0.218 0.125
N27 0.683 0.090 0.964
N28 0.410 0.093 0.875
N29 0.317 0.910 0.036
N30 0.410 0.817 0.536
N31 0.375 0.282 0.464
N32 0.590 0.183 0.464
N33 0.090 0.964 0.683
N34 0.964 0.683 0.090
N35 0.218 0.125 0.036
N36 0.718 0.536 0.625
N37 0.218 0.593 0.183
N38 0.625 0.407 0.090
N39 0.183 0.218 0.593
N40 0.036 0.317 0.910
N41 0.536 0.625 0.718
N42 0.782 0.875 0.964
N43 0.910 0.375 0.593
N44 0.464 0.375 0.282
N45 0.183 0.464 0.590
N46 0.817 0.536 0.410
N47 0.317 0.907 0.282
N48 0.782 0.407 0.817
Zr1 0.375 0.750 0.125
Zr2 0.625 0.250 0.875
Zr3 0.875 0.625 0.250
Zr4 0.125 0.375 0.750
Zr5 0.250 0.375 0.125
Zr6 0.125 0.250 0.375
Zr7 0.750 0.625 0.875
Zr8 0.375 0.125 0.250
Zr9 0.875 0.750 0.625
Zr10 0.625 0.875 0.750
Zr11 0.750 0.125 0.375
Zr12 0.250 0.875 0.625
Nb1 0.500 0.500 0.000
Nb2 0.000 0.000 0.500
Nb3 0.000 0.500 0.500
Nb4 0.500 0.500 0.500
Nb5 0.500 0.000 0.500
Nb6 0.500 0.000 0.000
Nb7 0.000 0.000 0.000
Nb8 0.000 0.500 0.000
Mo1 0.625 0.750 0.375
Mo2 0.125 0.750 0.875
Mo3 0.875 0.250 0.125
Mo4 0.375 0.625 0.750
Mo5 0.625 0.375 0.250
Mo6 0.750 0.375 0.625
Mo7 0.875 0.125 0.750
Mo8 0.125 0.875 0.250
Mo9 0.375 0.250 0.625
Mo10 0.750 0.875 0.125
Mo11 0.250 0.125 0.875
Mo12 0.250 0.625 0.375

Spin magnetization = 0.050 μB per cell
Uncorrected energy = -0.7067 Ry per atom

---

5.
Below is a relaxed Nd3Mo2N6 crystal, with properties calculated at the PBE level.

a b c (Å): 10.126 10.126 10.126
angles (deg): 157.32 157.32 32.30
Positions (direct):
N1 0.302 0.302 0.000
N2 0.586 0.086 0.500
N3 0.414 0.914 0.500
N4 0.698 0.698 0.000
N5 0.914 0.414 0.500
N6 0.086 0.586 0.500
Mo1 0.402 0.402 0.000
Mo2 0.598 0.598 0.000
Nd1 0.181 0.181 0.000
Nd2 0.819 0.819 0.000
Nd3 0.000 0.000 0.000

Spin magnetization = 0.004 μB per cell
Uncorrected energy = -0.6467 Ry per atom

---

6.
Below is a relaxed Nd2MoN4 crystal, with properties calculated at the PBE level.

a b c (Å): 5.892 5.868 6.894
angles (deg): 90.00 108.81 90.00
Positions (direct):
Nd1 0.685 0.750 0.531
Nd2 0.770 0.750 0.061
Nd3 0.230 0.250 0.939
Nd4 0.315 0.250 0.469
Mo1 0.760 0.250 0.305
Mo2 0.240 0.750 0.695
N1 0.965 0.250 0.149
N2 0.461 0.506 0.756
N3 0.539 0.494 0.244
N4 0.539 0.006 0.244
N5 0.035 0.750 0.851
N6 0.461 0.994 0.756
N7 0.942 0.250 0.579
N8 0.058 0.750 0.421

Spin magnetization = 0.002 μB per cell
Uncorrected energy = -0.6352 Ry per atom

---

7.
Below is a relaxed TbNdSi2Mo2N crystal, with properties calculated at the PBE level.

a b c (Å): 5.931 5.931 7.249
angles (deg): 123.96 123.96 37.30
Positions (direct):
N1 0.002 0.002 0.008
Si1 0.866 0.866 0.329
Si2 0.134 0.134 0.666
Mo1 0.203 0.203 0.081
Mo2 0.798 0.798 0.920
Nd1 0.425 0.425 0.700
Tb1 0.573 0.573 0.295

Spin magnetization = 0.003 μB per cell
Uncorrected energy = -0.5847 Ry per atom

---

8.
Below is a relaxed Nd2Ta2MoN6 crystal, with properties calculated at the PBE level.

a b c (Å): 9.646 9.646 9.646
angles (deg): 156.10 156.10 34.05
Positions (direct):
N1 0.573 0.073 0.500
N2 0.927 0.427 0.500
N3 0.427 0.927 0.500
N4 0.305 0.305 0.000
N5 0.073 0.573 0.500
N6 0.695 0.695 0.000
Nd1 0.176 0.176 0.000
Nd2 0.824 0.824 0.000
Ta1 0.412 0.412 0.000
Ta2 0.588 0.588 0.000
Mo1 0.000 0.000 0.000

Spin magnetization = 0.003 μB per cell
Uncorrected energy = -0.6925 Ry per atom

---

Q: What is the formula in the second record?
A: Nb2Zn3Mo4N3

---

Q: Look up the uncorrected energy of the third one.
A: -0.5839 Ry per atom